Entry 1:
Crystalline NaHg3Se at its relaxed geometry. Source: Alexandria, functional PBE.

Unit cell a=5.604 b=5.604 c=5.604 alpha=90.00 beta=90.00 gamma=90.00
Positions (direct):
Hg1 0.000 0.500 0.000
Hg2 0.000 0.000 0.500
Hg3 0.500 0.000 0.000
Se1 0.000 0.000 0.000
Na1 0.500 0.500 0.500

Calculated values
**Final energy**: -1.027 eV per atom
**Energy above the most stable polymorph in this dataset**: 0.00 eV per formula unit
**Spin magnetization**: 0.00 μB/atom
**Formation energy from raw total energies**: 0.58 eV/f.u.


Entry 2:
Crystalline Na2HgSe2 at its relaxed geometry. Source: Alexandria, functional PBE.

Unit cell a=9.065 b=9.065 c=2.931 alpha=90.00 beta=90.00 gamma=90.00
Positions (direct):
Se1 0.339 0.161 0.500
Se2 0.839 0.339 0.500
Se3 0.161 0.661 0.500
Se4 0.661 0.839 0.500
Na1 0.635 0.135 0.000
Na2 0.865 0.635 0.000
Na3 0.365 0.865 0.000
Na4 0.135 0.365 0.000
Hg1 0.500 0.500 0.000
Hg2 0.000 0.000 0.000

Calculated values
**Final energy**: -2.508 eV per atom
**Energy above the most stable polymorph in this dataset**: 1.06 eV per formula unit
**Spin magnetization**: 0.00 μB/atom
**Formation energy from raw total energies**: -2.63 eV/f.u.


Entry 3:
Crystalline NaHg2Se at its relaxed geometry. Source: Alexandria, functional PBE.

Unit cell a=4.354 b=4.354 c=9.091 alpha=76.15 beta=76.15 gamma=60.00
Positions (direct):
Hg1 0.110 0.110 0.670
Hg2 0.890 0.890 0.330
Na1 0.000 0.000 0.000
Se1 0.500 0.500 0.500

Calculated values
**Final energy**: -1.363 eV per atom
**Spin magnetization**: 0.00 μB/atom
**Formation energy from raw total energies**: -0.04 eV/f.u.


Entry 4:
Crystalline NaHg2Se2 at its relaxed geometry. Source: Alexandria, functional PBE.

Unit cell a=5.384 b=5.384 c=6.054 alpha=63.59 beta=63.59 gamma=90.00
Positions (direct):
Hg1 0.650 0.650 0.700
Hg2 0.350 0.350 0.300
Se1 0.250 0.750 0.500
Se2 0.750 0.250 0.500
Na1 0.000 0.000 0.000

Calculated values
**Final energy**: -1.988 eV per atom
**Energy above the most stable polymorph in this dataset**: 0.67 eV per formula unit
**Spin magnetization**: 0.00 μB/atom
**Formation energy from raw total energies**: -1.05 eV/f.u.


Entry 5:
Crystalline Na2HgSe2 at its relaxed geometry. Source: Alexandria, functional PBE.

Unit cell a=7.157 b=7.553 c=7.552 alpha=97.84 beta=118.40 gamma=118.37
Positions (direct):
Na1 0.648 0.867 0.135
Na2 0.852 0.365 0.632
Na3 0.148 0.635 0.368
Na4 0.352 0.133 0.865
Se1 0.766 0.117 0.880
Se2 0.266 0.380 0.618
Se3 0.234 0.883 0.120
Se4 0.734 0.620 0.382
Hg1 0.750 0.749 0.751
Hg2 0.250 0.251 0.249

Calculated values
**Final energy**: -2.702 eV per atom
**Energy above the most stable polymorph in this dataset**: 0.09 eV per formula unit
**Spin magnetization**: 0.00 μB/atom
**Formation energy from raw total energies**: -3.60 eV/f.u.


Entry 6:
Crystalline Na2Hg2Se3 at its relaxed geometry. Source: Alexandria, functional PBE.

Unit cell a=4.351 b=7.214 c=7.510 alpha=110.71 beta=106.84 gamma=90.00
Positions (direct):
Se1 0.206 0.705 0.411
Se2 0.794 0.295 0.589
Se3 0.000 0.000 0.000
Hg1 0.176 0.308 0.352
Hg2 0.824 0.692 0.648
Na1 0.396 0.121 0.792
Na2 0.604 0.879 0.208

Calculated values
**Final energy**: -2.495 eV per atom
**Energy above the most stable polymorph in this dataset**: 0.29 eV per formula unit
**Spin magnetization**: 0.00 μB/atom
**Formation energy from raw total energies**: -3.77 eV/f.u.


Entry 7:
Crystalline NaHg2Se2 at its relaxed geometry. Source: Alexandria, functional PBE.

Unit cell a=8.032 b=8.032 c=4.003 alpha=90.00 beta=90.00 gamma=90.00
Positions (direct):
Se1 0.705 0.205 0.000
Se2 0.205 0.295 0.000
Se3 0.295 0.795 0.000
Se4 0.795 0.705 0.000
Hg1 0.126 0.626 0.500
Hg2 0.874 0.374 0.500
Hg3 0.626 0.874 0.500
Hg4 0.374 0.126 0.500
Na1 0.500 0.500 0.000
Na2 0.000 0.000 0.000

Calculated values
**Final energy**: -2.062 eV per atom
**Energy above the most stable polymorph in this dataset**: 0.31 eV per formula unit
**Spin magnetization**: 0.00 μB/atom
**Formation energy from raw total energies**: -1.42 eV/f.u.


Entry 8:
Crystalline Na5Hg2Se4 at its relaxed geometry. Source: Alexandria, functional PBE.

Unit cell a=4.611 b=6.081 c=11.290 alpha=86.04 beta=101.78 gamma=90.00
Positions (direct):
Hg1 0.121 0.000 0.241
Hg2 0.879 0.000 0.759
Se1 0.690 0.280 0.379
Se2 0.310 0.720 0.621
Se3 0.009 0.694 0.017
Se4 0.991 0.306 0.983
Na1 0.129 0.491 0.259
Na2 0.871 0.509 0.741
Na3 0.272 0.218 0.543
Na4 0.500 0.000 0.000
Na5 0.728 0.782 0.457

Calculated values
**Final energy**: -2.543 eV per atom
**Energy above the most stable polymorph in this dataset**: 1.11 eV per formula unit
**Spin magnetization**: 0.00 μB/atom
**Formation energy from raw total energies**: -6.83 eV/f.u.


Which formula does entry 1 have? NaHg3Se